1.
YThTcNi | GGA-PBE | optimized geometry

abc: 6.951 6.951 6.951
angles: 90.00 90.00 90.00
Space group F-43m (No. 216)
Unique sites:
Y  0.000  0.000  0.000 [4 per cell]
Th  0.000  0.000  0.500 [4 per cell]
Tc  0.250  0.250  0.750 [4 per cell]
Ni  0.250  0.250  0.250 [4 per cell]

## Properties
- crystal system = cubic
- volume (Å³ per cell) = 335.9
- E_form (eV/atom) = -0.19


2.
ZnCdPb2 | GGA-PBE | optimized geometry

abc: 10.707 3.511 5.874
angles: 90.00 106.85 90.00
Space group C2/m (No. 12)
Unique sites:
Zn  0.000  0.000  0.000 [2 per cell]
Cd  0.000  0.500  0.500 [2 per cell]
Pb  0.237  0.500  0.241 [4 per cell]

## Properties
- crystal system = monoclinic
- volume (Å³ per cell) = 211.3
- E_form (eV/atom) = 0.13
- distance to the lowest polymorph of the same formula (meV/atom) = 56


3.
Os3PdN | GGA-PBE | optimized geometry

abc: 4.051 4.051 4.051
angles: 90.00 90.00 90.00
Space group Pm-3m (No. 221)
Unique sites:
Os  0.000  0.000  0.500 [3 per cell]
Pd  0.500  0.500  0.500 [1 per cell]
N  0.000  0.000  0.000 [1 per cell]

## Properties
- crystal system = cubic
- E_form (uncorrected) (eV per atom) = 0.697
- volume (Å³ per cell) = 66.5
- distance to the lowest polymorph of the same formula (meV/atom) = 0


4.
MgNbAg | GGA-PBE | optimized geometry

abc: 6.441 6.441 6.441
angles: 90.00 90.00 90.00
Space group F-43m (No. 216)
Unique sites:
Mg  0.000  0.000  0.000 [4 per cell]
Nb  0.250  0.250  0.750 [4 per cell]
Ag  0.000  0.000  0.500 [4 per cell]

## Properties
- crystal system = cubic
- volume (Å³ per cell) = 267.2
- E_form (eV/atom) = 1.01
- distance to the lowest polymorph of the same formula (meV/atom) = 953


| no. | DOS at the Fermi energy (states/eV/cell) |
| --- | --- |
| 1 | 13.81 |
| 2 | 3.60 |
| 3 | 6.11 |
| 4 | 3.61 |